(1)
Hf3CdTc2 (GGA-PBE, optimized geometry); magnetization = 0.01 Bohr magnetons per cell; total energy = -8.9721 eV per atom
1.0
3.304 0.000 0.000
0.000 3.304 0.000
0.000 0.000 10.395
Cd Hf Tc
1 3 2
Direct
0.500 0.500 0.500 Cd
0.000 0.000 0.000 Hf
0.000 0.000 0.302 Hf
0.000 0.000 0.698 Hf
0.500 0.500 0.161 Tc
0.500 0.500 0.839 Tc

(2)
RbHfCd (GGA-PBE, optimized geometry); relative energy among the computed polymorphs = 480 meV per atom; magnetization = 0.01 Bohr magnetons per cell; total energy = -2.1942 eV per atom
1.0
0.000 3.717 3.717
3.717 0.000 3.717
3.717 3.717 0.000
Cd Hf Rb
1 1 1
Direct
0.250 0.250 0.250 Cd
0.750 0.750 0.750 Hf
0.000 0.000 0.000 Rb

(3)
Sc2ZnCd2AgAu2 (GGA-PBE, optimized geometry); magnetization = 0.00 Bohr magnetons per cell; total energy = -3.5793 eV per atom
1.0
-0.706 -3.812 -2.746
-0.489 -2.702 3.876
-6.601 1.213 0.012
Ag Au Cd Sc Zn
1 2 2 2 1
Direct
0.500 0.500 0.000 Ag
0.000 0.000 0.000 Au
0.500 0.500 0.500 Au
0.000 0.500 0.252 Cd
0.500 0.000 0.748 Cd
0.500 0.000 0.254 Sc
0.000 0.500 0.746 Sc
0.000 0.000 0.500 Zn

(4)
Sm2Lu6Ga (GGA-PBE, optimized geometry); magnetization = 0.02 Bohr magnetons per cell; total energy = -4.5194 eV per atom
1.0
-8.917 -1.023 -1.352
5.401 -7.286 0.356
-0.516 -0.208 3.561
Ga Lu Sm
1 6 2
Direct
0.000 0.000 0.500 Ga
0.260 0.000 0.000 Lu
0.000 0.260 0.000 Lu
0.740 0.740 0.000 Lu
0.621 0.000 0.500 Lu
0.379 0.379 0.500 Lu
0.000 0.621 0.500 Lu
0.667 0.333 0.000 Sm
0.333 0.667 0.000 Sm

(5)
PuTlSi (GGA-PBE, optimized geometry); relative energy among the computed polymorphs = 243 meV per atom; magnetization = 5.17 Bohr magnetons per cell; total energy = -7.0404 eV per atom
1.0
0.000 3.467 3.467
3.467 0.000 3.467
3.467 3.467 0.000
Pu Si Tl
1 1 1
Direct
0.000 0.000 0.000 Pu
0.250 0.250 0.250 Si
0.750 0.750 0.750 Tl

(6)
ScAgTeO (GGA-PBE, optimized geometry); relative energy among the computed polymorphs = 7 meV per atom; magnetization = 0.00 Bohr magnetons per cell; total energy = -5.9539 eV per atom
1.0
5.479 0.000 0.000
0.000 9.883 0.000
0.000 0.000 5.491
Ag O Sc Te
4 4 4 4
Direct
0.750 0.500 0.029 Ag
0.250 0.500 0.471 Ag
0.750 0.500 0.529 Ag
0.250 0.500 0.971 Ag
0.750 0.000 0.001 O
0.250 0.000 0.499 O
0.750 0.000 0.501 O
0.250 0.000 0.999 O
0.500 0.094 0.250 Sc
0.000 0.906 0.250 Sc
0.000 0.094 0.750 Sc
0.500 0.906 0.750 Sc
0.000 0.277 0.250 Te
0.500 0.723 0.250 Te
0.500 0.277 0.750 Te
0.000 0.723 0.750 Te